## A
A relaxed Ac2SbIr crystal. Source: the Alexandria database, functional PBE-GGA.

abc: 5.532 5.532 5.532
angles: 60.00 60.00 60.00
Fractional positions:
Sb 0.000 0.000 0.000
Ac 0.250 0.250 0.250
Ac 0.750 0.750 0.750
Ir 0.500 0.500 0.500

## Properties
Volume = 29.93 Å³/atom
Magnetic moment = 0.0 μB per formula unit

***

## B
A relaxed Ac2SbIr crystal. Source: the Alexandria database, functional PBE-GGA.

abc: 4.922 4.922 9.441
angles: 74.89 74.89 60.00
Each line ends with the local moment (μB).
Fractional positions:
Sb 0.500 0.500 0.500  0.00
Ac 0.097 0.097 0.708  -0.01
Ac 0.903 0.903 0.292  -0.01
Ir 0.000 0.000 0.000  0.12

## Properties
Volume = 47.22 Å³/atom
Magnetic moment = 0.1 μB per formula unit

***

Most stable = A

***

## A
A relaxed AcSbIr crystal. Source: the Alexandria database, functional PBE-GGA.

abc: 7.698 6.724 7.152
angles: 87.28 106.35 105.77
Fractional positions:
Ir 0.444 0.846 0.103
Ir 0.653 0.388 0.570
Ir 0.556 0.154 0.897
Ir 0.347 0.612 0.430
Ac 0.151 0.760 0.697
Ac 0.668 0.718 0.855
Ac 0.849 0.240 0.303
Ac 0.332 0.282 0.145
Sb 0.103 0.764 0.177
Sb 0.704 0.721 0.371
Sb 0.897 0.236 0.823
Sb 0.296 0.279 0.629

## Properties
Volume = 28.47 Å³/atom
Magnetic moment = 0.0 μB per formula unit

***

## B
A relaxed AcSbIr crystal. Source: the Alexandria database, functional PBE-GGA.

abc: 4.567 4.567 9.017
angles: 90.00 90.00 119.99
Fractional positions:
Ac 0.000 0.500 0.500
Ac 0.000 0.500 0.000
Sb 0.667 0.833 0.750
Sb 0.333 0.167 0.250
Ir 0.333 0.167 0.750
Ir 0.667 0.833 0.250

## Properties
Volume = 27.15 Å³/atom
Magnetic moment = 0.0 μB per formula unit

***

Most stable = B

***

## A
A relaxed AcSbIr crystal. Source: the Alexandria database, functional PBE-GGA.

abc: 5.786 6.219 6.219
angles: 65.27 62.31 62.31
Fractional positions:
Ac 0.961 0.768 0.955
Ac 0.461 0.268 0.455
Sb 0.211 0.938 0.285
Sb 0.711 0.598 0.625
Ir 0.461 0.268 0.955
Ir 0.961 0.268 0.955

## Properties
Volume = 28.25 Å³/atom
Magnetic moment = 0.0 μB per formula unit

***

## B
A relaxed AcSbIr crystal. Source: the Alexandria database, functional PBE-GGA.

abc: 4.932 4.932 4.932
angles: 60.00 60.00 60.00
Fractional positions:
Sb 0.500 0.500 0.500
Ac 0.000 0.000 0.000
Ir 0.250 0.250 0.250

## Properties
Volume = 28.27 Å³/atom
Magnetic moment = 0.0 μB per formula unit

***

## C
A relaxed AcSbIr crystal. Source: the Alexandria database, functional PBE-GGA.

abc: 3.582 3.582 6.423
angles: 106.19 106.19 90.00
Fractional positions:
Sb 0.295 0.295 0.590
Ac 0.014 0.014 0.028
Ir 0.691 0.691 0.382

## Properties
Volume = 25.24 Å³/atom
Magnetic moment = 0.0 μB per formula unit

***

## D
A relaxed AcSbIr crystal. Source: the Alexandria database, functional PBE-GGA.

abc: 4.473 4.586 4.586
angles: 120.00 90.00 90.00
Fractional positions:
Sb 0.167 0.000 0.000
Ac 0.667 0.667 0.333
Ir 0.167 0.333 0.667

## Properties
Volume = 27.15 Å³/atom
Magnetic moment = 0.0 μB per formula unit

***

Most stable = D

***

## A
A relaxed Ac3Sb4Ir2 crystal. Source: the Alexandria database, functional PBE-GGA.

abc: 4.757 6.436 9.525
angles: 106.31 90.00 111.69
Fractional positions:
Ac 0.628 0.256 0.697
Ac 0.000 0.000 0.000
Ac 0.372 0.744 0.303
Sb 0.704 0.408 0.109
Sb 0.296 0.592 0.891
Sb 0.907 0.813 0.609
Sb 0.093 0.187 0.391
Ir 0.698 0.396 0.400
Ir 0.302 0.604 0.600

## Properties
Volume = 28.70 Å³/atom
Magnetic moment = 0.0 μB per formula unit

***

## B
A relaxed Ac3Sb4Ir2 crystal. Source: the Alexandria database, functional PBE-GGA.

abc: 4.833 6.613 8.963
angles: 99.86 90.00 111.43
Fractional positions:
Ac 0.649 0.299 0.659
Ac 0.000 0.000 0.000
Ac 0.351 0.701 0.341
Sb 0.726 0.452 0.085
Sb 0.274 0.548 0.915
Sb 0.919 0.839 0.611
Sb 0.081 0.161 0.389
Ir 0.589 0.177 0.277
Ir 0.411 0.823 0.723

## Properties
Volume = 29.13 Å³/atom
Magnetic moment = 0.0 μB per formula unit

***

Most stable = B